1.
Material: NaNiSn2
Method: DFT, GGA-PBE
State: relaxed

Cell lengths 3.1793, 3.1793, 8.4162 Å; angles 90.00, 90.00, 90.00 degrees
With the nearest neighbours (Å) after each atom.
Fractional coordinates of all 4 atoms:
Na  0.5000  0.5000  0.5000  4 Na 3.18, 8 Sn 3.42
Ni  0.5000  0.5000  0.0000  8 Sn 2.78
Sn  0.0000  0.0000  0.8057  4 Ni 2.78
Sn  0.0000  0.0000  0.1943  4 Ni 2.78

- Space group: No. 123
- ΔE_f: -179 meV/atom

=====

2.
Material: NaNi2Sn2
Method: DFT, GGA-PBE
State: relaxed

Cell lengths 4.3609, 4.3609, 6.3113 Å; angles 69.79, 69.79, 90.00 degrees
With the nearest neighbours (Å) after each atom.
Fractional coordinates of all 5 atoms:
Ni  0.2500  0.7500  0.5000  4 Sn 2.52
Ni  0.7500  0.2500  0.5000  4 Sn 2.52
Sn  0.3655  0.3655  0.2689  4 Ni 2.52
Sn  0.6345  0.6345  0.7311  4 Ni 2.52
Na  0.0000  0.0000  0.0000  8 Sn 3.42, 8 Ni 3.51

- Space group: No. 139
- Distance to the lowest polymorph of the same formula: 28 meV per atom
- ΔE_f: -81 meV/atom

=====

3.
Material: NaNi4Sn
Method: DFT, GGA-PBE
State: relaxed

Cell lengths 4.9067, 4.9067, 4.9067 Å; angles 60.00, 60.00, 60.00 degrees
With the nearest neighbours (Å) after each atom.
Fractional coordinates of all 6 atoms:
Ni  0.6246  0.6246  0.1261  6 Ni 2.45-2.46
Ni  0.6246  0.1261  0.6246  6 Ni 2.45-2.46
Ni  0.6246  0.6246  0.6246  6 Ni 2.45-2.46
Ni  0.1261  0.6246  0.6246  6 Ni 2.45-2.46
Sn  0.2500  0.2500  0.2500  12 Ni 2.88, 4 Na 3.00
Na  0.0000  0.0000  0.0000  12 Ni 2.88, 4 Sn 3.00

- Space group: No. 216
- ΔE_f: 21 meV/atom

=====

4.
Material: NaNi2Sn7
Method: DFT, GGA-PBE
State: relaxed

Cell lengths 4.6758, 8.0082, 8.0082 Å; angles 114.93, 90.00, 90.00 degrees
With the nearest neighbours (Å) after each atom.
Fractional coordinates of all 10 atoms:
Ni  0.5000  0.6819  0.3181  5 Sn 2.46-2.66
Ni  0.5000  0.3181  0.6819  5 Sn 2.46-2.66
Sn  0.5000  0.5000  0.5000  2 Ni 2.46
Sn  0.0000  0.2483  0.7517  2 Ni 2.52
Sn  0.5000  0.6610  0.9428  2 Ni 2.66-2.94
Sn  0.5000  0.9428  0.6610  2 Ni 2.66-2.94
Sn  0.5000  0.3390  0.0572  2 Ni 2.66-2.94
Sn  0.5000  0.0572  0.3390  2 Ni 2.66-2.94
Sn  0.0000  0.7517  0.2483  2 Ni 2.52
Na  0.0000  0.0000  0.0000  10 Sn 3.35-3.46

- Space group: No. 65
- ΔE_f: 16 meV/atom

=====

5.
Material: NaNi2Sn2
Method: DFT, GGA-PBE
State: relaxed

Cell lengths 7.6300, 7.6300, 3.0525 Å; angles 90.00, 90.00, 90.00 degrees
With the nearest neighbours (Å) after each atom.
Fractional coordinates of all 10 atoms:
Na  0.5000  0.5000  0.0000  4 Ni 3.00, 2 Na 3.05, 8 Sn 3.24
Na  0.0000  0.0000  0.0000  4 Ni 3.00, 2 Na 3.05, 8 Sn 3.24
Sn  0.1633  0.6633  0.5000  6 Ni 2.71-2.72
Sn  0.6633  0.8367  0.5000  6 Ni 2.71-2.72
Sn  0.8367  0.3367  0.5000  6 Ni 2.71-2.72
Sn  0.3367  0.1633  0.5000  6 Ni 2.71-2.72
Ni  0.3722  0.8722  0.0000  6 Sn 2.71-2.72, 1 Ni 2.76, 2 Na 3.00
Ni  0.1278  0.3722  0.0000  6 Sn 2.71-2.72, 1 Ni 2.76, 2 Na 3.00
Ni  0.8722  0.6278  0.0000  6 Sn 2.71-2.72, 1 Ni 2.76, 2 Na 3.00
Ni  0.6278  0.1278  0.0000  6 Sn 2.71-2.72, 1 Ni 2.76, 2 Na 3.00

- Space group: No. 127
- Distance to the lowest polymorph of the same formula: 0 meV per atom
- ΔE_f: -109 meV/atom

=====

6.
Material: NaNiSn2
Method: DFT, GGA-PBE
State: relaxed

Cell lengths 4.2096, 4.2096, 6.9281 Å; angles 72.31, 72.31, 60.00 degrees
With the nearest neighbours (Å) after each atom.
Fractional coordinates of all 4 atoms:
Ni  0.0000  0.0000  0.0000  6 Sn 2.62
Na  0.5000  0.5000  0.5000  6 Sn 3.32
Sn  0.2826  0.2826  0.1523  3 Ni 2.62
Sn  0.7174  0.7174  0.8477  3 Ni 2.62

- Space group: No. 166
- ΔE_f: -139 meV/atom

=====

7.
Material: Na3NiSn
Method: DFT, GGA-PBE
State: relaxed

Cell lengths 5.2293, 5.2293, 5.2293 Å; angles 90.00, 90.00, 90.00 degrees
With the nearest neighbours (Å) after each atom.
Fractional coordinates of all 5 atoms:
Na  0.0000  0.5000  0.0000  2 Ni 2.61
Na  0.0000  0.0000  0.5000  2 Ni 2.61
Na  0.5000  0.0000  0.0000  2 Ni 2.61
Ni  0.0000  0.0000  0.0000  6 Na 2.61
Sn  0.5000  0.5000  0.5000  12 Na 3.70

- Space group: No. 221
- ΔE_f: 517 meV/atom

=====

8.
Material: Na2NiSn
Method: DFT, GGA-PBE
State: relaxed

Cell lengths 3.9555, 4.0343, 5.0948 Å; angles 90.00, 90.00, 90.00 degrees
With the nearest neighbours (Å) after each atom.
Fractional coordinates of all 4 atoms:
Na  0.5000  0.5000  0.0000  4 Na 2.82
Na  0.0000  0.0000  0.0000  4 Na 2.82
Ni  0.0000  0.5000  0.5000  4 Sn 2.82
Sn  0.5000  0.0000  0.5000  4 Ni 2.82

- Space group: No. 47
- ΔE_f: 130 meV/atom